Below is SmPuSc2S4 after structural relaxation, with properties calculated at the GGA-PBE level.

Computed properties:
total moment	5.81	Bohr magnetons per cell
calculated volume	20.0	Å³/atom
crystal system	monoclinic
uncorrected energy	-63.305	eV/cell
formation energy (no corrections)	-1.89	eV/atom

Unit cell a=3.813 b=6.635 c=6.682 alpha=109.04 beta=90.00 gamma=90.00
Site moments in Bohr magnetons follow the coordinates.
Sites, in units of the cell vectors:
S (0.000, 0.755, 0.271)  -0.04
S (0.500, 0.260, 0.273)  -0.01
S (0.500, 0.740, 0.727)  -0.01
S (0.000, 0.245, 0.729)  -0.04
Sc (0.500, 0.000, 0.500)  -0.03
Sc (0.000, 0.500, 0.500)  0.07
Sm (0.000, 0.000, 0.000)  0.06
Pu (0.500, 0.500, 0.000)  5.35



Below is Tb2PuScS6 after structural relaxation, with properties calculated at the GGA-PBE level.

Computed properties:
total moment	5.00	Bohr magnetons per cell
calculated volume	24.9	Å³/atom
crystal system	trigonal
uncorrected energy	-73.329	eV/cell
formation energy (no corrections)	-1.86	eV/atom

Unit cell a=6.844 b=6.844 c=7.302 alpha=62.05 beta=62.06 gamma=60.00
Site moments in Bohr magnetons follow the coordinates.
Sites, in units of the cell vectors:
Pu (0.817, 0.817, 0.550)  4.99
S (0.418, 0.703, 0.761)  -0.04
S (0.703, 0.118, 0.761)  -0.04
S (0.118, 0.418, 0.761)  -0.04
S (0.939, 0.597, 0.250)  -0.03
S (0.215, 0.939, 0.250)  -0.03
S (0.597, 0.215, 0.250)  -0.03
Tb (0.017, 0.017, 0.950)  0.02
Tb (0.519, 0.519, 0.442)  0.02
Sc (0.320, 0.320, 0.040)  0.04



Below is Tb4PuSc3S8 after structural relaxation, with properties calculated at the GGA-PBE level.

Computed properties:
total moment	5.77	Bohr magnetons per cell
calculated volume	20.1	Å³/atom
crystal system	trigonal
uncorrected energy	-115.594	eV/cell
formation energy (no corrections)	-1.92	eV/atom

Unit cell a=7.687 b=7.694 c=7.687 alpha=119.97 beta=120.00 gamma=90.00
Site moments in Bohr magnetons follow the coordinates.
Sites, in units of the cell vectors:
S (0.256, 0.268, 0.512)  0.00
S (0.250, 0.739, 0.500)  -0.02
S (0.744, 0.732, 0.488)  0.00
S (0.262, 0.261, 0.012)  -0.02
S (0.750, 0.261, 0.500)  -0.02
S (0.250, 0.739, 0.988)  -0.02
S (0.738, 0.739, 0.988)  -0.02
S (0.750, 0.261, 0.012)  -0.02
Tb (0.000, 0.000, 0.000)  0.04
Tb (0.500, 0.000, 0.000)  -0.05
Tb (0.500, 0.000, 0.500)  0.04
Tb (0.000, 0.000, 0.500)  0.04
Sc (0.000, 0.500, 0.500)  0.05
Sc (0.500, 0.500, 0.500)  0.05
Sc (0.500, 0.500, 0.000)  0.05
Pu (0.000, 0.500, 0.000)  5.24



Below is TbPuSc2S4 after structural relaxation, with properties calculated at the GGA-PBE level.

Computed properties:
total moment	5.79	Bohr magnetons per cell
calculated volume	19.6	Å³/atom
crystal system	monoclinic
uncorrected energy	-63.240	eV/cell
formation energy (no corrections)	-1.89	eV/atom

Unit cell a=3.799 b=6.609 c=6.624 alpha=109.13 beta=90.00 gamma=90.00
Site moments in Bohr magnetons follow the coordinates.
Sites, in units of the cell vectors:
Tb (0.000, 0.000, 0.000)  0.08
S (0.000, 0.243, 0.732)  -0.04
S (0.500, 0.745, 0.732)  -0.01
S (0.500, 0.255, 0.268)  -0.01
S (0.000, 0.757, 0.268)  -0.04
Pu (0.500, 0.500, 0.000)  5.33
Sc (0.000, 0.500, 0.500)  0.08
Sc (0.500, 0.000, 0.500)  -0.03



Below is Tb3Pu2ScS6 after structural relaxation, with properties calculated at the GGA-PBE level.

Computed properties:
total moment	11.44	Bohr magnetons per cell
calculated volume	21.0	Å³/atom
crystal system	monoclinic
uncorrected energy	-96.661	eV/cell
formation energy (no corrections)	-1.92	eV/atom

Unit cell a=3.890 b=7.821 c=8.715 alpha=103.07 beta=102.90 gamma=90.00
Site moments in Bohr magnetons follow the coordinates.
Sites, in units of the cell vectors:
Pu (0.835, 0.668, 0.670)  5.31
Pu (0.165, 0.332, 0.330)  5.31
Tb (0.832, 0.166, 0.664)  0.03
Tb (0.500, 0.500, 0.000)  0.04
Tb (0.168, 0.834, 0.336)  0.03
S (0.662, 0.079, 0.323)  -0.04
S (0.338, 0.921, 0.677)  -0.04
S (0.002, 0.762, 0.004)  -0.01
S (0.333, 0.416, 0.666)  -0.06
S (0.998, 0.238, 0.996)  -0.01
S (0.667, 0.584, 0.334)  -0.06
Sc (0.500, 0.000, 0.000)  0.09



Below is Tb3Pu3ScS8 after structural relaxation, with properties calculated at the GGA-PBE level.

Computed properties:
total moment	16.96	Bohr magnetons per cell
calculated volume	22.7	Å³/atom
crystal system	trigonal
uncorrected energy	-125.168	eV/cell
formation energy (no corrections)	-1.93	eV/atom

Unit cell a=7.838 b=7.839 c=7.838 alpha=119.99 beta=90.01 gamma=120.00
Site moments in Bohr magnetons follow the coordinates.
Sites, in units of the cell vectors:
S (0.750, 0.500, 0.750)  -0.07
S (0.240, 0.998, 0.739)  -0.04
S (0.242, 0.002, 0.261)  -0.04
S (0.758, 0.998, 0.739)  -0.04
S (0.250, 0.500, 0.250)  -0.07
S (0.760, 0.519, 0.261)  -0.04
S (0.760, 0.002, 0.261)  -0.04
S (0.240, 0.481, 0.739)  -0.04
Tb (0.500, 0.500, 0.500)  0.05
Tb (0.000, 0.500, 0.500)  0.05
Tb (0.500, 0.000, 0.500)  0.05
Pu (0.500, 0.500, 0.000)  5.29
Pu (0.000, 0.500, 0.000)  5.29
Pu (0.000, 0.000, 0.000)  5.29
Sc (0.000, 0.000, 0.500)  0.15



Below is PuScTe2S after structural relaxation, with properties calculated at the GGA-PBE level.

Computed properties:
total moment	9.56	Bohr magnetons per cell
calculated volume	27.3	Å³/atom
crystal system	tetragonal
uncorrected energy	-74.340	eV/cell
formation energy (no corrections)	-1.22	eV/atom

Unit cell a=4.281 b=4.281 c=14.885 alpha=90.00 beta=90.00 gamma=90.00
Site moments in Bohr magnetons follow the coordinates.
Sites, in units of the cell vectors:
Sc (0.500, 0.000, 0.101)  0.05
Sc (0.000, 0.500, 0.899)  0.05
Te (0.000, 0.500, 0.709)  -0.09
Te (0.000, 0.500, 0.099)  -0.01
Te (0.500, 0.000, 0.901)  -0.01
Te (0.500, 0.000, 0.291)  -0.09
S (0.500, 0.500, 0.500)  -0.20
S (0.000, 0.000, 0.500)  -0.20
Pu (0.500, 0.000, 0.610)  4.97
Pu (0.000, 0.500, 0.390)  4.97



Below is PuTh2ScS4 after structural relaxation, with properties calculated at the GGA-PBE level.

Computed properties:
total moment	5.37	Bohr magnetons per cell
calculated volume	21.5	Å³/atom
crystal system	monoclinic
uncorrected energy	-66.531	eV/cell
formation energy (no corrections)	-1.81	eV/atom

Unit cell a=3.890 b=6.945 c=6.740 alpha=71.20 beta=90.00 gamma=90.00
Site moments in Bohr magnetons follow the coordinates.
Sites, in units of the cell vectors:
S (0.500, 0.731, 0.248)  -0.04
S (0.000, 0.274, 0.233)  -0.02
S (0.500, 0.269, 0.752)  -0.04
S (0.000, 0.726, 0.767)  -0.02
Th (0.500, 0.000, 0.500)  -0.01
Th (0.000, 0.000, 0.000)  -0.04
Sc (0.500, 0.500, 0.000)  0.06
Pu (0.000, 0.500, 0.500)  5.19



Below is Pu2ThScS4 after structural relaxation, with properties calculated at the GGA-PBE level.

Computed properties:
total moment	0.29	Bohr magnetons per cell
calculated volume	21.3	Å³/atom
crystal system	monoclinic
uncorrected energy	-73.257	eV/cell
formation energy (no corrections)	-1.79	eV/atom

Unit cell a=3.895 b=6.908 c=6.701 alpha=109.19 beta=90.00 gamma=90.00
Site moments in Bohr magnetons follow the coordinates.
Sites, in units of the cell vectors:
Th (0.500, 0.500, 0.000)  0.07
S (0.500, 0.767, 0.761)  -0.01
S (0.000, 0.766, 0.250)  0.04
S (0.500, 0.233, 0.239)  -0.01
S (0.000, 0.234, 0.750)  0.04
Sc (0.000, 0.000, 0.000)  -0.09
Pu (0.000, 0.500, 0.500)  5.34
Pu (0.500, 0.000, 0.500)  -5.14



Below is Pu3ScTl3S8 after structural relaxation, with properties calculated at the GGA-PBE level.

Computed properties:
total moment	4.67	Bohr magnetons per cell
calculated volume	27.7	Å³/atom
crystal system	monoclinic
uncorrected energy	-108.591	eV/cell
formation energy (no corrections)	-1.28	eV/atom

Unit cell a=7.992 b=7.993 c=8.810 alpha=117.05 beta=89.91 gamma=120.03
Site moments in Bohr magnetons follow the coordinates.
Sites, in units of the cell vectors:
S (0.776, 0.037, 0.313)  -0.10
S (0.224, 0.446, 0.689)  0.01
S (0.743, 0.966, 0.689)  0.00
S (0.776, 0.554, 0.311)  0.01
S (0.267, 0.536, 0.302)  -0.04
S (0.224, 0.963, 0.687)  -0.10
S (0.257, 0.034, 0.311)  0.00
S (0.733, 0.464, 0.698)  -0.04
Pu (0.000, 0.500, 0.500)  4.83
Pu (0.500, 0.500, 0.500)  -4.79
Pu (0.500, 0.000, 0.500)  4.83
Tl (0.000, 0.000, 0.000)  -0.01
Tl (0.000, 0.500, 0.000)  0.02
Tl (0.500, 0.500, 0.000)  -0.01
Sc (0.000, 0.000, 0.500)  0.01



Below is Pu2ScTl3S6 after structural relaxation, with properties calculated at the GGA-PBE level.

Computed properties:
total moment	10.00	Bohr magnetons per cell
calculated volume	25.8	Å³/atom
crystal system	monoclinic
uncorrected energy	-81.885	eV/cell
formation energy (no corrections)	-1.25	eV/atom

Unit cell a=6.910 b=6.910 c=7.819 alpha=98.46 beta=98.46 gamma=119.93
Site moments in Bohr magnetons follow the coordinates.
Sites, in units of the cell vectors:
S (0.064, 0.384, 0.192)  -0.08
S (0.256, 0.256, 0.805)  -0.07
S (0.384, 0.064, 0.192)  -0.08
S (0.744, 0.744, 0.195)  -0.07
S (0.936, 0.616, 0.808)  -0.08
S (0.616, 0.936, 0.808)  -0.08
Pu (0.666, 0.334, 0.000)  5.02
Pu (0.334, 0.666, 0.000)  5.02
Tl (0.169, 0.831, 0.500)  0.00
Tl (0.831, 0.169, 0.500)  0.00
Tl (0.500, 0.500, 0.500)  0.00
Sc (0.000, 0.000, 0.000)  0.07



Below is PuScTl2S4 after structural relaxation, with properties calculated at the GGA-PBE level.

Computed properties:
total moment	5.00	Bohr magnetons per cell
calculated volume	25.2	Å³/atom
crystal system	monoclinic
uncorrected energy	-52.064	eV/cell
formation energy (no corrections)	-1.27	eV/atom

Unit cell a=3.955 b=6.833 c=7.812 alpha=106.90 beta=90.00 gamma=90.00
Site moments in Bohr magnetons follow the coordinates.
Sites, in units of the cell vectors:
Sc (0.000, 0.000, 0.000)  0.07
Pu (0.500, 0.500, 0.000)  4.98
Tl (0.000, 0.500, 0.500)  0.01
Tl (0.500, 0.000, 0.500)  -0.01
S (0.000, 0.744, 0.193)  -0.07
S (0.000, 0.256, 0.807)  -0.07
S (0.500, 0.783, 0.810)  -0.04
S (0.500, 0.217, 0.190)  -0.04